Entry from the Alexandria database: crystalline SmV2CrO8 at its relaxed geometry (PBE+U).

Output
The value obtained for the density of states at the Fermi level is 0.00 states/eV/cell. The total energy comes out at -7.723 eV per atom.

The structure in POSCAR format:
```
SmV2CrO8
1.0
-2.111 -4.947 2.087
2.262 0.160 -5.304
5.433 -1.358 2.276
Sm V Cr O
1 2 1 8
Direct
0.000 0.000 0.000
0.667 0.333 0.367
0.333 0.667 0.633
0.000 0.000 0.500
0.840 0.160 0.284
0.840 0.681 0.284
0.319 0.160 0.284
0.681 0.840 0.716
0.333 0.667 0.365
0.667 0.333 0.635
0.160 0.840 0.716
0.160 0.319 0.716
```